[1]
Entry from Alexandria via LeMat-Bulk: an optimized crystal structure of LiOsSe2 (PBE).

Properties
Density of states at the Fermi level   3.88 states/eV/cell
Magnetization   0.00 μB per cell
V   62.7 Å³/cell
Energy relative to the elements, uncorrected   -3.3 kJ/mol of atoms

```
LiOsSe2
1.0
0.000 3.154 3.154
3.154 0.000 3.154
3.154 3.154 0.000
Li Os Se
1 1 2
Direct
0.000 0.000 0.000
0.500 0.500 0.500
0.250 0.250 0.250
0.750 0.750 0.750
```



[2]
Entry from Alexandria via LeMat-Bulk: an optimized crystal structure of LiOsSe (PBE).

Properties
Density of states at the Fermi level   2.72 states/eV/cell
Magnetization   0.00 μB per cell
V   47.6 Å³/cell
Polymorph energy (0 for the lowest one)   0.157 eV per atom
Energy relative to the elements, uncorrected   26.7 kJ/mol of atoms

```
LiOsSe
1.0
0.000 2.877 2.877
2.877 0.000 2.877
2.877 2.877 0.000
Li Os Se
1 1 1
Direct
0.000 0.000 0.000
0.500 0.500 0.500
0.750 0.750 0.750
```



[3]
Entry from Alexandria via LeMat-Bulk: an optimized crystal structure of Li2OsSe (PBE).

Properties
Density of states at the Fermi level   2.52 states/eV/cell
Magnetization   0.00 μB per cell
V   57.9 Å³/cell
Energy relative to the elements, uncorrected   2.4 kJ/mol of atoms

```
Li2OsSe
1.0
2.668 0.000 0.000
0.000 4.086 0.000
-0.052 0.000 5.310
Li Os Se
2 1 1
Direct
0.007 0.000 0.239
0.993 0.000 0.761
0.500 0.500 0.000
0.500 0.500 0.500
```



[4]
Entry from Alexandria via LeMat-Bulk: an optimized crystal structure of LiOsSe2 (PBE).

Properties
Density of states at the Fermi level   2.35 states/eV/cell
Magnetization   0.00 μB per cell
V   66.7 Å³/cell
Energy relative to the elements, uncorrected   10.8 kJ/mol of atoms

```
LiOsSe2
1.0
1.503 0.867 8.531
-1.503 0.867 8.531
0.000 -1.735 8.531
Li Os Se
1 1 2
Direct
0.000 0.000 0.000
0.500 0.500 0.500
0.407 0.407 0.407
0.593 0.593 0.593
```



[5]
Entry from Alexandria via LeMat-Bulk: an optimized crystal structure of LiOsSe (PBE).

Properties
Density of states at the Fermi level   1.16 states/eV/cell
Magnetization   0.00 μB per cell
V   50.4 Å³/cell
Polymorph energy (0 for the lowest one)   0.000 eV per atom
Energy relative to the elements, uncorrected   11.6 kJ/mol of atoms

```
LiOsSe
1.0
-1.536 1.536 5.339
1.536 -1.536 5.339
1.536 1.536 -5.339
Li Os Se
1 1 1
Direct
0.000 0.000 0.000
0.674 0.674 0.000
0.289 0.289 0.000
```



[6]
Entry from Alexandria via LeMat-Bulk: an optimized crystal structure of Li2OsSe (PBE).

Properties
Density of states at the Fermi level   0.91 states/eV/cell
Magnetization   0.00 μB per cell
V   57.9 Å³/cell
Energy relative to the elements, uncorrected   -8.7 kJ/mol of atoms

```
Li2OsSe
1.0
4.286 -1.568 0.000
4.286 1.568 0.000
-1.396 0.000 4.310
Li Os Se
2 1 1
Direct
0.000 0.000 0.000
0.244 0.244 0.833
0.472 0.472 0.476
0.743 0.743 0.371
```



[7]
Entry from Alexandria via LeMat-Bulk: an optimized crystal structure of Li2OsSe (PBE).

Properties
Density of states at the Fermi level   1.35 states/eV/cell
Magnetization   0.00 μB per cell
V   57.1 Å³/cell
Energy relative to the elements, uncorrected   2.7 kJ/mol of atoms

```
Li2OsSe
1.0
-1.608 2.142 4.145
1.608 -2.142 4.145
1.608 2.142 -4.145
Li Os Se
2 1 1
Direct
0.000 0.000 0.000
0.749 0.249 0.500
0.473 0.473 0.000
0.254 0.754 0.500
```



[8]
Entry from Alexandria via LeMat-Bulk: an optimized crystal structure of LiSi2OsSe (PBE).

Properties
Density of states at the Fermi level   3.86 states/eV/cell
Magnetization   0.00 μB per cell
V   79.3 Å³/cell
Energy relative to the elements, uncorrected   120.5 kJ/mol of atoms

```
LiSi2OsSe
1.0
4.274 0.000 0.000
0.000 4.274 0.000
0.000 0.000 4.342
Li Si Os Se
1 2 1 1
Direct
0.000 0.000 0.000
0.000 0.500 0.000
0.500 0.000 0.000
0.500 0.500 0.500
0.000 0.000 0.500
```



[9]
Entry from Alexandria via LeMat-Bulk: an optimized crystal structure of LiOsWSe2 (PBE).

Properties
Density of states at the Fermi level   6.59 states/eV/cell
Magnetization   3.22 μB per cell
V   112.1 Å³/cell
Energy relative to the elements, uncorrected   145.3 kJ/mol of atoms

```
LiOsWSe2
1.0
4.797 0.000 0.000
0.000 4.797 0.000
0.000 0.000 4.869
Li Os W Se
1 1 1 2
Direct
0.000 0.000 0.000
0.500 0.500 0.000
0.000 0.000 0.500
0.000 0.500 0.500
0.500 0.000 0.500
```



[10]
Entry from Alexandria via LeMat-Bulk: an optimized crystal structure of LiYOsSe2 (PBE).

Properties
Density of states at the Fermi level   4.99 states/eV/cell
Magnetization   0.35 μB per cell
V   130.9 Å³/cell
Energy relative to the elements, uncorrected   15.0 kJ/mol of atoms

```
LiYOsSe2
1.0
5.057 0.000 0.000
0.000 5.057 0.000
0.000 0.000 5.118
Li Y Os Se
1 1 1 2
Direct
0.000 0.000 0.000
0.500 0.500 0.000
0.500 0.500 0.500
0.000 0.500 0.500
0.500 0.000 0.500
```



[11]
Entry from Alexandria via LeMat-Bulk: an optimized crystal structure of LiSiOs2 (PBE).

Properties
Density of states at the Fermi level   3.00 states/eV/cell
Magnetization   0.00 μB per cell
V   58.9 Å³/cell
Energy relative to the elements, uncorrected   9.4 kJ/mol of atoms

```
LiSiOs2
1.0
2.761 0.000 0.000
0.000 2.761 0.000
0.000 0.000 7.725
Li Si Os
1 1 2
Direct
0.000 0.000 0.000
0.500 0.500 0.728
0.000 0.000 0.508
0.500 0.500 0.279
```



[12]
Entry from Alexandria via LeMat-Bulk: an optimized crystal structure of LiSiOs2 (PBE).

Properties
Density of states at the Fermi level   2.24 states/eV/cell
Magnetization   0.00 μB per cell
V   52.9 Å³/cell
Energy relative to the elements, uncorrected   2.1 kJ/mol of atoms

```
LiSiOs2
1.0
4.025 -1.369 0.000
4.025 1.369 0.000
-0.923 0.000 4.797
Li Si Os
1 1 2
Direct
0.000 0.000 0.000
0.500 0.500 0.500
0.237 0.237 0.761
0.763 0.763 0.239
```



[13]
Entry from Alexandria via LeMat-Bulk: an optimized crystal structure of Li2SiOs (PBE).

Properties
Density of states at the Fermi level   2.83 states/eV/cell
Magnetization   0.00 μB per cell
V   55.0 Å³/cell
Energy relative to the elements, uncorrected   9.4 kJ/mol of atoms

```
Li2SiOs
1.0
2.537 0.000 0.000
0.000 2.537 0.000
0.000 0.000 8.545
Li Si Os
2 1 1
Direct
0.000 0.000 0.246
0.000 0.000 0.754
0.500 0.500 0.000
0.500 0.500 0.500
```



[14]
Entry from Alexandria via LeMat-Bulk: an optimized crystal structure of Li2SiOs (PBE).

Properties
Density of states at the Fermi level   2.57 states/eV/cell
Magnetization   0.00 μB per cell
V   55.0 Å³/cell
Energy relative to the elements, uncorrected   5.9 kJ/mol of atoms

```
Li2SiOs
1.0
1.332 0.769 8.945
-1.332 0.769 8.945
0.000 -1.538 8.945
Li Si Os
2 1 1
Direct
0.248 0.248 0.248
0.752 0.752 0.752
0.500 0.500 0.500
0.000 0.000 0.000
```



[15]
Entry from Alexandria via LeMat-Bulk: an optimized crystal structure of LiSiOs2 (PBE).

Properties
Density of states at the Fermi level   2.67 states/eV/cell
Magnetization   0.00 μB per cell
V   53.1 Å³/cell
Energy relative to the elements, uncorrected   15.7 kJ/mol of atoms

```
LiSiOs2
1.0
2.786 0.000 0.000
0.000 4.112 0.000
0.000 0.000 4.637
Li Si Os
1 1 2
Direct
0.000 0.000 0.000
0.500 0.000 0.500
0.000 0.500 0.500
0.500 0.500 0.000
```



[16]
Entry from Alexandria via LeMat-Bulk: an optimized crystal structure of Li2SiOs (PBE).

Properties
Density of states at the Fermi level   1.56 states/eV/cell
Magnetization   0.00 μB per cell
V   54.5 Å³/cell
Energy relative to the elements, uncorrected   0.3 kJ/mol of atoms

```
Li2SiOs
1.0
2.427 -4.351 0.000
2.427 4.351 0.000
0.000 0.000 2.580
Li Si Os
2 1 1
Direct
0.000 0.500 0.000
0.500 0.000 0.000
0.000 0.000 0.500
0.500 0.500 0.500
```



[17]
Entry from Alexandria via LeMat-Bulk: an optimized crystal structure of LiSi4Os (PBE).

Properties
Density of states at the Fermi level   2.90 states/eV/cell
Magnetization   0.00 μB per cell
V   83.5 Å³/cell
Energy relative to the elements, uncorrected   43.5 kJ/mol of atoms

```
LiSi4Os
1.0
0.000 3.468 3.468
3.468 0.000 3.468
3.468 3.468 0.000
Li Si Os
1 4 1
Direct
0.000 0.000 0.000
0.125 0.625 0.625
0.625 0.125 0.625
0.625 0.625 0.125
0.625 0.625 0.625
0.250 0.250 0.250
```



[18]
Entry from Alexandria via LeMat-Bulk: an optimized crystal structure of LiSiOs2 (PBE).

Properties
Density of states at the Fermi level   3.30 states/eV/cell
Magnetization   0.00 μB per cell
V   51.5 Å³/cell
Energy relative to the elements, uncorrected   0.1 kJ/mol of atoms

```
LiSiOs2
1.0
4.445 -1.417 0.000
4.445 1.417 0.000
-1.280 0.000 4.089
Li Si Os
1 1 2
Direct
0.000 0.000 0.000
0.246 0.246 0.691
0.501 0.501 0.510
0.754 0.754 0.181
```



[19]
Entry from Alexandria via LeMat-Bulk: an optimized crystal structure of Li2SiOs (PBE).

Properties
Density of states at the Fermi level   1.04 states/eV/cell
Magnetization   0.00 μB per cell
V   55.4 Å³/cell
Energy relative to the elements, uncorrected   9.8 kJ/mol of atoms

```
Li2SiOs
1.0
1.510 -2.088 0.000
1.510 2.088 0.000
0.000 0.000 8.781
Li Si Os
2 1 1
Direct
0.000 0.000 0.248
0.000 0.000 0.752
0.500 0.500 0.000
0.500 0.500 0.500
```



[20]
Entry from Alexandria via LeMat-Bulk: an optimized crystal structure of Li2SiOs (PBE).

Properties
Density of states at the Fermi level   2.65 states/eV/cell
Magnetization   0.57 μB per cell
V   52.9 Å³/cell
Energy relative to the elements, uncorrected   -1.0 kJ/mol of atoms

```
Li2SiOs
1.0
-1.745 1.745 4.342
1.745 -1.745 4.342
1.745 1.745 -4.342
Li Si Os
2 1 1
Direct
0.250 0.750 0.500
0.750 0.250 0.500
0.000 0.000 0.000
0.500 0.500 0.000
```



[21]
Entry from Alexandria via LeMat-Bulk: an optimized crystal structure of Li2SiOs (PBE).

Properties
Density of states at the Fermi level   1.78 states/eV/cell
Magnetization   0.00 μB per cell
V   54.5 Å³/cell
Energy relative to the elements, uncorrected   1.8 kJ/mol of atoms

```
Li2SiOs
1.0
2.563 0.000 0.000
0.000 4.343 0.000
0.000 0.000 4.894
Li Si Os
2 1 1
Direct
0.000 0.000 0.240
0.000 0.000 0.760
0.500 0.500 0.500
0.500 0.500 0.000
```



[22]
Entry from Alexandria via LeMat-Bulk: an optimized crystal structure of LiSiOs2 (PBE).

Properties
Density of states at the Fermi level   3.14 states/eV/cell
Magnetization   0.00 μB per cell
V   53.1 Å³/cell
Energy relative to the elements, uncorrected   4.6 kJ/mol of atoms

```
LiSiOs2
1.0
2.752 0.000 0.000
0.000 3.738 0.000
0.000 0.000 5.162
Li Si Os
1 1 2
Direct
0.000 0.000 0.000
0.500 0.500 0.772
0.000 0.000 0.502
0.500 0.500 0.256
```



[23]
Entry from Alexandria via LeMat-Bulk: an optimized crystal structure of LiSiOs2 (PBE).

Properties
Density of states at the Fermi level   2.77 states/eV/cell
Magnetization   0.00 μB per cell
V   54.6 Å³/cell
Energy relative to the elements, uncorrected   0.6 kJ/mol of atoms

```
LiSiOs2
1.0
2.784 0.000 0.000
0.000 4.091 0.000
-1.251 0.000 4.792
Li Si Os
1 1 2
Direct
0.000 0.000 0.000
0.411 0.500 0.813
0.271 0.000 0.523
0.680 0.500 0.315
```



[24]
Entry from Alexandria via LeMat-Bulk: an optimized crystal structure of Li3SiOs (PBE).

Properties
Density of states at the Fermi level   4.73 states/eV/cell
Magnetization   1.61 μB per cell
V   82.9 Å³/cell
Polymorph energy (0 for the lowest one)   0.000 eV per atom
Energy relative to the elements, uncorrected   114.5 kJ/mol of atoms

```
Li3SiOs
1.0
4.360 0.000 0.000
0.000 4.360 0.000
0.000 0.000 4.360
Li Si Os
3 1 1
Direct
0.000 0.000 0.500
0.000 0.500 0.000
0.500 0.000 0.000
0.000 0.000 0.000
0.500 0.500 0.500
```



[25]
Entry from Alexandria via LeMat-Bulk: an optimized crystal structure of LiSiOs (PBE).

Properties
Density of states at the Fermi level   2.18 states/eV/cell
Magnetization   0.00 μB per cell
V   43.4 Å³/cell
Polymorph energy (0 for the lowest one)   0.408 eV per atom
Energy relative to the elements, uncorrected   12.1 kJ/mol of atoms

```
LiSiOs
1.0
0.000 2.288 6.265
1.514 0.000 6.265
1.514 2.288 0.000
Li Si Os
1 1 1
Direct
0.000 0.000 0.000
0.323 0.323 0.677
0.677 0.677 0.323
```



[26]
Entry from Alexandria via LeMat-Bulk: an optimized crystal structure of Li2SiOs (PBE).

Properties
Density of states at the Fermi level   1.51 states/eV/cell
Magnetization   0.00 μB per cell
V   54.1 Å³/cell
Energy relative to the elements, uncorrected   -5.6 kJ/mol of atoms

```
Li2SiOs
1.0
4.243 -1.279 0.000
4.243 1.279 0.000
-0.462 0.000 4.990
Li Si Os
2 1 1
Direct
0.000 0.000 0.000
0.237 0.237 0.780
0.742 0.742 0.292
0.487 0.487 0.489
```



[27]
Entry from Alexandria via LeMat-Bulk: an optimized crystal structure of LiSiOs2 (PBE).

Properties
Density of states at the Fermi level   2.31 states/eV/cell
Magnetization   0.00 μB per cell
V   55.7 Å³/cell
Energy relative to the elements, uncorrected   -3.9 kJ/mol of atoms

```
LiSiOs2
1.0
-1.417 2.239 4.393
1.417 -2.239 4.393
1.417 2.239 -4.393
Li Si Os
1 1 2
Direct
0.000 0.000 0.000
0.500 0.500 0.000
0.283 0.783 0.500
0.717 0.217 0.500
```



[28]
Entry from Alexandria via LeMat-Bulk: an optimized crystal structure of LiSiOs (PBE).

Properties
Density of states at the Fermi level   1.20 states/eV/cell
Magnetization   0.00 μB per cell
V   37.1 Å³/cell
Polymorph energy (0 for the lowest one)   0.093 eV per atom
Energy relative to the elements, uncorrected   -18.3 kJ/mol of atoms

```
LiSiOs
1.0
-1.554 1.554 3.842
1.554 -1.554 3.842
1.554 1.554 -3.842
Li Si Os
1 1 1
Direct
0.000 0.000 0.000
0.324 0.324 0.000
0.671 0.671 0.000
```



[29]
Entry from Alexandria via LeMat-Bulk: an optimized crystal structure of LiSiOs2 (PBE).

Properties
Density of states at the Fermi level   1.93 states/eV/cell
Magnetization   0.00 μB per cell
V   53.1 Å³/cell
Energy relative to the elements, uncorrected   4.7 kJ/mol of atoms

```
LiSiOs2
1.0
2.737 0.000 0.000
0.000 3.937 0.000
-0.477 0.000 4.927
Li Si Os
1 1 2
Direct
0.000 0.000 0.000
0.500 0.000 0.500
0.292 0.500 0.751
0.708 0.500 0.249
```



[30]
Entry from Alexandria via LeMat-Bulk: an optimized crystal structure of LiSiOs2 (PBE).

Properties
Density of states at the Fermi level   10.72 states/eV/cell
Magnetization   0.00 μB per cell
V   125.4 Å³/cell
Energy relative to the elements, uncorrected   40.8 kJ/mol of atoms

```
LiSiOs2
1.0
-3.662 3.662 2.337
3.662 -3.662 2.337
3.662 3.662 -2.337
Li Si Os
2 2 4
Direct
0.000 0.000 0.000
0.750 0.250 0.500
0.250 0.750 0.500
0.500 0.500 0.000
0.194 0.625 0.069
0.375 0.444 0.569
0.556 0.125 0.931
0.875 0.806 0.431
```